No. 1
Rb2InPF6 PBE-GGA relaxed; formation energy from raw total energies = -2.204 eV per atom; crystal system = cubic; total DFT energy (no corrections) = -0.159 hartree per atom; M_tot = 0.00 μB/f.u.; symmetry = Fm-3m (225)
1.0
-1.227 -4.982 3.996
4.725 -3.446 -2.845
4.787 -2.541 3.595
In F P Rb
1 6 1 2
Direct
0.000 0.000 0.000
0.717 0.717 0.000
0.283 0.717 0.000
0.283 0.283 0.434
0.717 0.283 0.000
0.283 0.283 0.000
0.717 0.717 0.566
0.500 0.500 0.000
0.750 0.250 0.500
0.250 0.750 0.500

No. 2
Mg4CdIn15 PBE-GGA relaxed; DFT formation energy = -26 meV/atom; crystal system = tetragonal; total DFT energy (no corrections) = -0.090 hartree per atom; M_tot = 0.00 μB/f.u.; symmetry = P4/mmm (123)
1.0
-2.932 3.548 0.511
-3.574 -2.841 -0.775
-1.427 -4.498 23.067
In Mg Cd
15 4 1
Direct
0.000 0.500 0.897
0.500 0.500 0.598
0.500 0.000 0.103
0.000 0.500 0.697
0.000 0.500 0.303
0.000 0.500 0.103
0.500 0.500 0.402
0.500 0.000 0.897
0.500 0.500 0.796
0.000 0.500 0.500
0.500 0.500 0.000
0.500 0.000 0.303
0.500 0.000 0.697
0.500 0.500 0.204
0.500 0.000 0.500
0.000 0.000 0.401
0.000 0.000 0.599
0.000 0.000 0.796
0.000 0.000 0.204
0.000 0.000 0.000

No. 3
MgNb2N PBE-GGA relaxed; formation energy from raw total energies = 1.165 eV per atom; crystal system = cubic; energy above the most stable polymorph in this dataset = 1160 meV/atom; total DFT energy (no corrections) = -0.233 hartree per atom; M_tot = 0.00 μB/f.u.; symmetry = Fm-3m (225)
1.0
0.000 3.108 3.108
3.108 0.000 3.108
3.108 3.108 0.000
Nb Mg N
2 1 1
Direct
0.250 0.250 0.250
0.750 0.750 0.750
0.500 0.500 0.500
0.000 0.000 0.000

No. 4
Li2CaMn PBE-GGA relaxed; DFT formation energy = 406 meV/atom; crystal system = monoclinic; energy above the most stable polymorph in this dataset = 109 meV/atom; total DFT energy (no corrections) = -0.123 hartree per atom; M_tot = 3.59 μB/f.u.; symmetry = C2/m (12)
1.0
6.032 0.002 -0.016
-2.933 5.271 -0.016
0.691 1.175 2.875
Li Ca Mn
2 1 1
Direct
0.000 0.000 0.000
0.500 0.500 0.000
0.000 0.500 0.500
0.500 0.000 0.500

No. 5
CsAsSe2N PBE-GGA relaxed; formation energy from raw total energies = 0.714 eV per atom; crystal system = tetragonal; energy above the most stable polymorph in this dataset = 265 meV/atom; total DFT energy (no corrections) = -0.127 hartree per atom; M_tot = 0.53 μB/f.u.; symmetry = P4/mmm (123)
1.0
-3.901 -2.912 -2.701
2.783 -4.705 1.054
-2.029 -0.438 3.403
Cs Se N As
1 2 1 1
Direct
0.500 0.500 0.500
0.000 0.500 0.000
0.500 0.000 0.000
0.000 0.000 0.000
0.000 0.000 0.500

No. 6
Ce2ThN4 PBE-GGA relaxed; formation energy from raw total energies = -1.345 eV per atom; crystal system = monoclinic; total DFT energy (no corrections) = -0.326 hartree per atom; M_tot = 0.00 μB/f.u.; symmetry = C2/m (12)
1.0
3.525 0.000 -0.920
-0.629 5.449 -2.411
-0.167 -0.294 6.572
N Th Ce
4 1 2
Direct
0.856 0.560 0.713
0.144 0.440 0.287
0.632 0.987 0.265
0.368 0.013 0.735
0.000 0.000 0.000
0.302 0.310 0.605
0.698 0.690 0.395

No. 7
ReTe4Se PBE-GGA relaxed; formation energy from raw total energies = 1.352 eV per atom; crystal system = cubic; total DFT energy (no corrections) = -0.125 hartree per atom; M_tot = 3.54 μB/f.u.; symmetry = F-43m (216)
1.0
0.444 -5.424 2.983
-4.763 -2.072 3.396
-3.299 -4.886 -1.938
Se Te Re
1 4 1
Direct
0.000 0.000 0.000
0.874 0.375 0.375
0.375 0.375 0.375
0.375 0.375 0.874
0.375 0.874 0.375
0.750 0.750 0.750

No. 8
BaIr2W PBE-GGA relaxed; DFT formation energy = 751 meV/atom; crystal system = tetragonal; energy above the most stable polymorph in this dataset = 677 meV/atom; total DFT energy (no corrections) = -0.272 hartree per atom; M_tot = 0.00 μB/f.u.; symmetry = P4mm (99)
1.0
2.954 0.001 0.000
-0.001 2.954 0.000
0.000 0.000 9.201
Ir W Ba
2 1 1
Direct
0.000 0.000 0.047
0.500 0.500 0.251
0.000 0.000 0.432
0.500 0.500 0.771

No. 9
FeIrBr2 PBE-GGA relaxed; formation energy from raw total energies = 1.028 eV per atom; crystal system = tetragonal; energy above the most stable polymorph in this dataset = 910 meV/atom; total DFT energy (no corrections) = -0.152 hartree per atom; M_tot = 0.00 μB/f.u.; symmetry = I-42d (122)
1.0
5.789 0.000 0.000
0.000 5.789 0.000
2.895 2.895 5.014
Ir Br Fe
2 4 2
Direct
0.750 0.250 0.500
0.000 0.000 0.000
0.152 0.625 0.250
0.598 0.125 0.250
0.375 0.402 0.750
0.875 0.848 0.750
0.250 0.750 0.500
0.500 0.500 0.000

No. 10
Na3NdTe2Se6 PBE-GGA relaxed; formation energy from raw total energies = -0.750 eV per atom; crystal system = monoclinic; total DFT energy (no corrections) = -0.138 hartree per atom; M_tot = 0.00 μB/f.u.; symmetry = C2/m (12)
1.0
-1.081 6.998 -2.775
-5.751 -4.579 1.951
2.415 1.729 6.621
Se Na Te Nd
6 3 2 1
Direct
0.744 0.744 0.240
0.421 0.093 0.227
0.907 0.579 0.773
0.093 0.421 0.227
0.256 0.256 0.760
0.579 0.907 0.773
0.824 0.176 0.500
0.500 0.500 0.500
0.176 0.824 0.500
0.339 0.661 0.000
0.661 0.339 0.000
0.000 0.000 0.000

No. 11
KPdRhS2 PBE-GGA relaxed; formation energy from raw total energies = -0.522 eV per atom; crystal system = orthorhombic; total DFT energy (no corrections) = -0.180 hartree per atom; M_tot = 0.00 μB/f.u.; symmetry = Cmme (67)
1.0
-2.905 -3.208 3.969
-3.050 -2.264 -4.063
5.981 -3.704 1.382
K S Rh Pd
2 4 2 2
Direct
0.759 0.250 0.500
0.241 0.750 0.500
0.700 0.611 0.223
0.300 0.389 0.777
0.300 0.111 0.223
0.700 0.889 0.777
0.500 0.750 0.000
0.500 0.250 0.000
0.000 0.000 0.000
0.000 0.500 0.000

No. 12
Na8B13C3 PBE-GGA relaxed; DFT formation energy = 186 meV/atom; crystal system = monoclinic; energy above the most stable polymorph in this dataset = 4 meV/atom; total DFT energy (no corrections) = -0.185 hartree per atom; M_tot = 0.00 μB/f.u.; symmetry = Pm (6)
1.0
10.183 -0.462 0.000
-4.190 9.287 0.000
0.000 0.000 2.796
B Na C
13 8 3
Direct
0.190 0.940 0.500
0.559 0.806 0.000
0.457 0.706 0.500
0.720 0.968 0.000
0.040 0.291 0.000
0.298 0.048 0.000
0.198 0.450 0.000
0.297 0.548 0.500
0.462 0.211 0.000
0.569 0.318 0.500
0.940 0.190 0.500
0.022 0.773 0.500
0.793 0.544 0.000
0.502 0.999 0.500
0.248 0.251 0.500
0.000 0.500 0.500
0.751 0.750 0.500
0.500 0.504 0.000
0.998 0.996 0.000
0.249 0.748 0.000
0.752 0.251 0.000
0.946 0.697 0.000
0.795 0.043 0.500
0.716 0.465 0.500